The following is a PBE calculation of a relaxed structure of CaAs2PdRu, from Alexandria via LeMat-Bulk.

Values from the calculation:
**Space group**: I-4m2
**Energy of formation**: -0.604 eV/atom
**Mass density**: 6.972 Mg/m³
**Magnetization**: 0.00 μB/cell

a b c (Å): 6.131 6.131 6.131
angles (deg): 139.93 139.93 57.95
Fractional coordinates of all 5 atoms:
Ca1 0.000 0.000 0.000
As1 0.376 0.376 0.000
As2 0.624 0.624 0.000
Pd1 0.750 0.250 0.500
Ru1 0.250 0.750 0.500

The following is a PBE calculation of a relaxed structure of Ca2SbAs3Pd4, from Alexandria via LeMat-Bulk.

Values from the calculation:
**ΔE_f (raw)**: -0.72 eV/atom
**Space group**: P-4m2
**Mass density**: 6.964 Mg/m³
**Magnetization**: 0.00 μB/cell

a b c (Å): 4.325 4.325 10.866
angles (deg): 90.00 90.00 90.00
Fractional coordinates of all 10 atoms:
Ca1 0.000 0.500 0.231
Ca2 0.500 0.000 0.769
Sb1 0.000 0.000 0.500
As1 0.000 0.500 0.870
As2 0.500 0.000 0.130
As3 0.500 0.500 0.500
Pd1 0.000 0.000 0.000
Pd2 0.000 0.500 0.645
Pd3 0.500 0.000 0.355
Pd4 0.500 0.500 0.000

The following is a PBE calculation of a relaxed structure of Ca3SbAs2Pd9, from Alexandria via LeMat-Bulk.

Values from the calculation:
**ΔE_f (raw)**: -0.54 eV/atom
**Space group**: P-3m1
**Mass density**: 6.677 Mg/m³
**Magnetization**: 0.00 μB/cell

a b c (Å): 6.548 6.548 9.038
angles (deg): 90.00 90.00 120.00
Fractional coordinates of all 15 atoms:
Ca1 0.000 0.000 0.000
Ca2 0.333 0.667 0.715
Ca3 0.667 0.333 0.285
Sb1 0.000 0.000 0.500
As1 0.333 0.667 0.174
As2 0.667 0.333 0.826
Pd1 0.000 0.500 0.000
Pd2 0.143 0.285 0.275
Pd3 0.143 0.857 0.275
Pd4 0.285 0.143 0.725
Pd5 0.500 0.000 0.000
Pd6 0.500 0.500 0.000
Pd7 0.715 0.857 0.275
Pd8 0.857 0.143 0.725
Pd9 0.857 0.715 0.725

The following is a PBE calculation of a relaxed structure of Ca2Sb3AsPd4, from Alexandria via LeMat-Bulk.

Values from the calculation:
**ΔE_f (raw)**: -0.71 eV/atom
**Space group**: P-4m2
**Mass density**: 7.060 Mg/m³
**Magnetization**: 0.00 μB/cell

a b c (Å): 4.563 4.563 10.688
angles (deg): 90.00 90.00 90.00
Fractional coordinates of all 10 atoms:
Ca1 0.000 0.500 0.245
Ca2 0.500 0.000 0.755
Sb1 0.000 0.500 0.867
Sb2 0.500 0.000 0.133
Sb3 0.500 0.500 0.500
As1 0.000 0.000 0.500
Pd1 0.000 0.000 0.000
Pd2 0.000 0.500 0.624
Pd3 0.500 0.000 0.376
Pd4 0.500 0.500 0.000

The following is a PBE calculation of a relaxed structure of CaSbAs2Pd5, from Alexandria via LeMat-Bulk.

Values from the calculation:
**ΔE_f (raw)**: -0.46 eV/atom
**Space group**: P4/mmm
**Mass density**: 7.279 Mg/m³
**Magnetization**: 0.00 μB/cell

a b c (Å): 4.226 4.226 10.778
angles (deg): 90.00 90.00 90.00
Fractional coordinates of all 9 atoms:
Ca1 0.000 0.000 0.000
Sb1 0.000 0.000 0.500
As1 0.500 0.500 0.220
As2 0.500 0.500 0.780
Pd1 0.000 0.500 0.344
Pd2 0.000 0.500 0.656
Pd3 0.500 0.000 0.344
Pd4 0.500 0.000 0.656
Pd5 0.500 0.500 0.000

The following is a PBE calculation of a relaxed structure of Ca3Sb2AsPd9, from Alexandria via LeMat-Bulk.

Values from the calculation:
**ΔE_f (raw)**: -0.46 eV/atom
**Space group**: P-3m1
**Mass density**: 6.629 Mg/m³
**Magnetization**: 0.00 μB/cell

a b c (Å): 6.919 6.919 8.437
angles (deg): 90.00 90.00 120.00
Fractional coordinates of all 15 atoms:
Ca1 0.000 0.000 0.000
Ca2 0.333 0.667 0.713
Ca3 0.667 0.333 0.287
Sb1 0.333 0.667 0.201
Sb2 0.667 0.333 0.799
As1 0.000 0.000 0.500
Pd1 0.000 0.500 0.000
Pd2 0.134 0.268 0.287
Pd3 0.134 0.866 0.287
Pd4 0.268 0.134 0.713
Pd5 0.500 0.000 0.000
Pd6 0.500 0.500 0.000
Pd7 0.732 0.866 0.287
Pd8 0.866 0.134 0.713
Pd9 0.866 0.732 0.713

The following is a PBE calculation of a relaxed structure of Ca2SbAsPd6, from Alexandria via LeMat-Bulk.

Values from the calculation:
**ΔE_f (raw)**: -0.64 eV/atom
**Space group**: Pmmn
**Mass density**: 7.179 Mg/m³
**Magnetization**: 0.00 μB/cell

a b c (Å): 5.628 8.857 8.494
angles (deg): 90.00 90.00 90.00
Fractional coordinates of all 20 atoms:
Ca1 0.250 0.000 0.236
Ca2 0.250 0.500 0.236
Ca3 0.750 0.000 0.764
Ca4 0.750 0.500 0.764
Sb1 0.250 0.250 0.772
Sb2 0.750 0.750 0.228
As1 0.250 0.750 0.742
As2 0.750 0.250 0.258
Pd1 0.001 0.250 0.503
Pd2 0.003 0.750 0.976
Pd3 0.250 0.502 0.606
Pd4 0.250 0.998 0.606
Pd5 0.497 0.750 0.976
Pd6 0.499 0.250 0.503
Pd7 0.501 0.750 0.497
Pd8 0.503 0.250 0.024
Pd9 0.750 0.002 0.394
Pd10 0.750 0.498 0.394
Pd11 0.997 0.250 0.024
Pd12 0.999 0.750 0.497

The following is a PBE calculation of a relaxed structure of CaScAs2Pd5, from Alexandria via LeMat-Bulk.

Values from the calculation:
**Space group**: P4/mmm
**Energy of formation**: -0.634 eV/atom
**Mass density**: 7.915 Mg/m³
**Magnetization**: 0.00 μB/cell

a b c (Å): 4.243 4.243 8.937
angles (deg): 90.00 90.00 90.00
Fractional coordinates of all 9 atoms:
Ca1 0.000 0.000 0.000
Sc1 0.000 0.000 0.500
As1 0.500 0.500 0.366
As2 0.500 0.500 0.634
Pd1 0.000 0.500 0.233
Pd2 0.000 0.500 0.767
Pd3 0.500 0.000 0.233
Pd4 0.500 0.000 0.767
Pd5 0.500 0.500 0.000

The following is a PBE calculation of a relaxed structure of Ca3Si2AsPd9, from Alexandria via LeMat-Bulk.

Values from the calculation:
**ΔE_f (raw)**: -0.60 eV/atom
**Space group**: P-3m1
**Mass density**: 6.592 Mg/m³
**Magnetization**: 0.00 μB/cell

a b c (Å): 6.436 6.436 8.491
angles (deg): 90.00 90.00 120.00
Fractional coordinates of all 15 atoms:
Ca1 0.000 0.000 0.000
Ca2 0.333 0.667 0.681
Ca3 0.667 0.333 0.319
Si1 0.333 0.667 0.173
Si2 0.667 0.333 0.827
As1 0.000 0.000 0.500
Pd1 0.000 0.500 0.000
Pd2 0.147 0.295 0.284
Pd3 0.147 0.853 0.284
Pd4 0.295 0.147 0.716
Pd5 0.500 0.000 0.000
Pd6 0.500 0.500 0.000
Pd7 0.705 0.853 0.284
Pd8 0.853 0.147 0.716
Pd9 0.853 0.705 0.716

The following is a PBE calculation of a relaxed structure of CaSmAs2Pd2, from Alexandria via LeMat-Bulk.

Values from the calculation:
**Space group**: P-3m1
**Energy of formation**: -1.086 eV/atom
**Mass density**: 7.130 Mg/m³
**Magnetization**: 0.00 μB/cell

a b c (Å): 4.305 4.305 8.027
angles (deg): 90.00 90.00 120.00
Fractional coordinates of all 6 atoms:
Ca1 0.000 0.000 0.000
Sm1 0.000 0.000 0.500
As1 0.333 0.667 0.261
As2 0.667 0.333 0.739
Pd1 0.333 0.667 0.751
Pd2 0.667 0.333 0.249

The following is a PBE calculation of a relaxed structure of CaSn2AsPd, from Alexandria via LeMat-Bulk.

Values from the calculation:
**Space group**: P4/mmm
**Energy of formation**: -0.129 eV/atom
**Mass density**: 5.489 Mg/m³
**Magnetization**: 0.00 μB/cell

a b c (Å): 5.198 5.198 5.138
angles (deg): 90.00 90.00 90.00
Fractional coordinates of all 5 atoms:
Ca1 0.000 0.000 0.000
Sn1 0.000 0.500 0.500
Sn2 0.500 0.000 0.500
As1 0.500 0.500 0.000
Pd1 0.500 0.500 0.500

The following is a PBE calculation of a relaxed structure of Ca2SnAsPd6, from Alexandria via LeMat-Bulk.

Values from the calculation:
**Space group**: C2/m
**Energy of formation**: -0.593 eV/atom
**Mass density**: 7.762 Mg/m³
**Magnetization**: 0.00 μB/cell

a b c (Å): 6.446 6.446 7.896
angles (deg): 125.56 125.56 51.07
Fractional coordinates of all 10 atoms:
Ca1 0.000 0.000 0.248
Ca2 0.000 0.000 0.752
Sn1 0.500 0.500 0.500
As1 0.500 0.500 0.000
Pd1 0.010 0.504 0.701
Pd2 0.321 0.321 0.069
Pd3 0.496 0.990 0.299
Pd4 0.504 0.010 0.701
Pd5 0.679 0.679 0.931
Pd6 0.990 0.496 0.299